Record 1
Computed, not measured: a relaxed structure of KTa2Mo at the PBE level of DFT.

Summary:
energy of formation from the pure elements = 1.368 eV/atom
magnetization = 0.00 μB per cell
total energy = -30.16 eV for the cell shown
D(E_F) = 1.343 states/eV/atom
SG = Cmmm (65)

Cell and atoms, written as extended XYZ:
```
4
Lattice="5.834 0.002 0.000 -2.700 5.171 0.000 0.000 0.000 2.675" Properties=species:S:1:pos:R:3 pbc="T T T"
Mo -1.350 2.586 1.337
Ta 1.567 2.587 0.000
Ta 0.000 0.000 0.000
K 2.917 0.001 1.337
```

Record 2
Computed, not measured: a relaxed structure of Sn6HgPb at the PBE level of DFT.

Summary:
energy of formation from the pure elements = 0.068 eV/atom
magnetization = 0.00 μB per cell
total energy = -27.49 eV for the cell shown
D(E_F) = 0.423 states/eV/atom
SG = Immm (71)

Cell and atoms, written as extended XYZ:
```
8
Lattice="-4.281 -4.018 -2.390 5.697 -2.978 3.208 -4.399 2.405 3.834" Properties=species:S:1:pos:R:3 pbc="T T T"
Sn -2.560 -4.860 0.111
Sn -0.402 -2.834 1.316
Sn -5.440 -0.204 1.682
Sn -2.581 -1.757 3.336
Sn -0.423 0.269 4.541
Sn -3.240 -1.409 -0.238
Hg 0.000 0.000 0.000
Pb -2.200 1.202 1.917
```

Record 3
Computed, not measured: a relaxed structure of NiIr2Rh at the PBE level of DFT.

Summary:
energy of formation from the pure elements = 0.041 eV/atom
magnetization = 0.41 μB per cell
total energy = -30.69 eV for the cell shown
D(E_F) = 1.516 states/eV/atom
SG = R-3m (166)

Cell and atoms, written as extended XYZ:
```
4
Lattice="-5.952 -1.189 -6.296 -3.859 -2.470 -7.449 -5.453 -3.785 -5.694" Properties=species:S:1:pos:R:3 pbc="T T T"
Ir -7.680 -3.745 -9.780
Rh -11.448 -5.583 -14.579
Ir -15.216 -7.420 -19.378
Ni -3.816 -1.861 -4.860
```

Record 4
Computed, not measured: a relaxed structure of YInGe2Br at the PBE level of DFT.

Summary:
magnetization = 0.00 μB per cell
total energy = -18.38 eV for the cell shown
D(E_F) = 0.917 states/eV/atom
SG = P4/mmm (123)

Cell and atoms, written as extended XYZ:
```
5
Lattice="-4.292 -0.514 2.716 -2.790 -2.381 -4.860 1.472 -4.670 1.443" Properties=species:S:1:pos:R:3 pbc="T T T"
In 0.000 0.000 0.000
Ge 0.736 -2.335 0.721
Ge -2.146 -0.257 1.358
Y -1.395 -1.191 -2.430
Br -2.805 -3.783 -0.350
```